[1]
The following is a DFT calculation (PBE-GGA) of SrMnP3 after structural relaxation.

Unit cell a=4.622 b=4.622 c=4.622 alpha=90.00 beta=90.00 gamma=90.00
Space group Pm-3m (No. 221)
Asymmetric unit:
Sr: 0.000 0.000 0.000 (multiplicity 1)
Mn: 0.500 0.500 0.500 (multiplicity 1)
P: 0.000 0.500 0.500 (multiplicity 3)

Summary:
**Fermi-level density of states**: 0.9852 states/eV/atom
**Formation enthalpy at 0 K**: -0.2034 eV/atom

[2]
The following is a DFT calculation (PBE-GGA) of NpCuSb after structural relaxation.

Unit cell a=4.4020 b=4.4020 c=4.0465 alpha=90.00 beta=90.00 gamma=120.00
Space group P3m1 (No. 156)
Asymmetric unit:
Np: 0.0000 0.0000 0.0000 (multiplicity 1)
Cu: 0.3333 0.6667 0.5109 (multiplicity 1)
Sb: 0.6667 0.3333 0.4972 (multiplicity 1)

Summary:
**Fermi-level density of states**: 3.2114 states/eV/atom
**Formation energy without anion corrections**: -7 kJ per mole of atoms

[3]
The following is a DFT calculation (PBE-GGA) of KSrLi2Hg after structural relaxation.

Unit cell a=5.612 b=5.612 c=6.132 alpha=90.00 beta=90.00 gamma=90.00
Space group P4/mmm (No. 123)
Asymmetric unit:
K: 0.000 0.000 0.000 (multiplicity 1)
Sr: 0.500 0.500 0.000 (multiplicity 1)
Li: 0.000 0.500 0.500 (multiplicity 2)
Hg: 0.500 0.500 0.500 (multiplicity 1)

Summary:
**Fermi-level density of states**: 0.5309 states/eV/atom
**Formation enthalpy at 0 K**: -0.0340 eV/atom

[4]
The following is a DFT calculation (PBE-GGA) of LiPm2HoTl4 after structural relaxation.

Unit cell a=5.2921 b=5.2921 c=26.8668 alpha=90.00 beta=90.00 gamma=120.00
Space group R-3m (No. 166, hexagonal axes)
Asymmetric unit:
Li: 0.0000 0.0000 0.0000 (multiplicity 3)
Pm: 0.0000 0.0000 0.2556 (multiplicity 6)
Ho: 0.0000 0.0000 0.5000 (multiplicity 3)
Tl: 0.0000 0.0000 0.1247 (multiplicity 6)
Tl: 0.0000 0.0000 0.3739 (multiplicity 6)

Summary:
**Fermi-level density of states**: 0.6031 states/eV/atom
**Formation enthalpy at 0 K**: -0.3423 eV/atom

[5]
The following is a DFT calculation (PBE-GGA) of Ce2PmPr after structural relaxation.

Unit cell a=4.974 b=4.974 c=5.162 alpha=90.00 beta=90.00 gamma=90.00
Space group P4/mmm (No. 123)
Asymmetric unit:
Ce: 0.000 0.500 0.000 (multiplicity 2)
Pm: 0.000 0.000 0.500 (multiplicity 1)
Pr: 0.500 0.500 0.500 (multiplicity 1)

Summary:
**Fermi-level density of states**: 2.6951 states/eV/atom
**Formation enthalpy at 0 K**: 0.1215 eV/atom

[6]
The following is a DFT calculation (PBE-GGA) of NpBP3 after structural relaxation.

Unit cell a=7.295 b=5.870 c=7.195 alpha=90.00 beta=90.00 gamma=90.00
Space group Ima2 (No. 46)
Asymmetric unit:
Np: 0.250 0.068 0.000 (multiplicity 4)
B: 0.250 0.575 0.144 (multiplicity 4)
P: 0.038 0.736 0.248 (multiplicity 8)
P: 0.250 0.540 0.884 (multiplicity 4)

Summary:
**Fermi-level density of states**: 1.2969 states/eV/atom
**Formation enthalpy at 0 K**: -0.2482 eV/atom

| no. | magnetic moment (μB/f.u.) |
| --- | --- |
| 1 | 2.6 |
| 2 | 4.7 |
| 3 | 0.0 |
| 4 | 0.0 |
| 5 | 1.6 |
| 6 | 3.4 |